TlZnSe2 PBE relaxed; V = 240.2 Å³/cell; symmetry = I-42d, No. 122; raw formation energy = -0.396 eV/atom; total magnetic moment = 0.000 μB per atom; E = -12.19 eV per formula unit
1.0
6.308 0.000 0.000
0.000 6.308 0.000
3.154 3.154 6.037
Tl Zn Se
2 2 4
direct
0.000 0.000 0.000
0.750 0.250 0.500
0.500 0.500 0.000
0.250 0.750 0.500
0.568 0.125 0.250
0.375 0.432 0.750
0.182 0.625 0.250
0.875 0.818 0.750

***

Tl2ZnSe2 PBE relaxed; V = 274.2 Å³/cell; symmetry = P4/mbm, No. 127; raw formation energy = -0.159 eV/atom; total magnetic moment = 0.000 μB per atom; E = -13.77 eV per formula unit
1.0
-4.998 5.235 1.056
-5.148 -4.337 -2.862
-0.997 -1.892 4.658
Se Zn Tl
4 2 4
direct
0.320 0.820 0.000
0.820 0.680 0.000
0.180 0.320 0.000
0.680 0.180 0.000
0.500 0.500 0.000
0.000 0.000 0.000
0.152 0.652 0.500
0.848 0.348 0.500
0.348 0.152 0.500
0.652 0.848 0.500

***

TlZn2Se PBE relaxed; distance to the lowest polymorph of the same formula = 0.67 eV per formula unit; V = 86.8 Å³/cell; symmetry = P4/mmm, No. 123; raw formation energy = 0.068 eV/atom; total magnetic moment = 0.000 μB per atom; E = -8.13 eV per formula unit
1.0
-1.420 2.779 1.726
0.181 -1.812 3.066
6.254 2.504 1.111
Zn Tl Se
2 1 1
direct
0.000 0.000 0.451
0.000 0.000 0.049
0.500 0.500 0.750
0.500 0.500 0.250

***

TlZnSe PBE relaxed; distance to the lowest polymorph of the same formula = 0.44 eV per formula unit; V = 81.8 Å³/cell; symmetry = I4mm, No. 107; raw formation energy = -0.151 eV/atom; total magnetic moment = 0.000 μB per atom; E = -7.58 eV per formula unit
1.0
-5.378 -1.673 -3.808
-4.189 -4.777 -2.418
-2.798 -0.053 2.269
Tl Se Zn
1 1 1
direct
0.680 0.680 0.320
0.928 0.928 0.072
0.392 0.392 0.608

***

TlZn2Se PBE relaxed; distance to the lowest polymorph of the same formula = 0.19 eV per formula unit; V = 107.1 Å³/cell; symmetry = Cm, No. 8; raw formation energy = -0.052 eV/atom; total magnetic moment = 0.000 μB per atom; E = -8.61 eV per formula unit
1.0
-5.508 -1.994 1.019
-3.129 -4.466 2.369
-0.045 2.429 4.529
Zn Se Tl
2 1 1
direct
0.919 0.919 0.249
0.245 0.245 0.251
0.573 0.573 0.249
0.764 0.764 0.751

***

TlZnSe2 PBE relaxed; V = 96.2 Å³/cell; symmetry = Pmmm, No. 47; raw formation energy = 0.138 eV/atom; total magnetic moment = 0.000 μB per atom; E = -10.06 eV per formula unit
1.0
-2.612 -0.271 3.110
2.786 -1.983 2.167
1.978 5.075 2.104
Se Zn Tl
2 1 1
direct
0.000 0.000 0.000
0.500 0.500 0.000
0.000 0.500 0.500
0.500 0.000 0.500

***

TlZnSe2 PBE relaxed; V = 95.4 Å³/cell; symmetry = Immm, No. 71; raw formation energy = 0.130 eV/atom; total magnetic moment = 0.000 μB per atom; E = -10.09 eV per formula unit
1.0
6.493 0.002 -0.040
3.962 5.145 0.040
-5.097 -2.838 2.851
Zn Se Tl
1 2 1
direct
0.250 0.750 0.500
0.497 0.497 0.000
0.003 0.003 0.000
0.750 0.250 0.500

***

TlZnSe2 PBE relaxed; V = 238.1 Å³/cell; symmetry = P1, No. 1; raw formation energy = -0.390 eV/atom; total magnetic moment = 0.000 μB per atom; E = -12.17 eV per formula unit
1.0
-3.436 -0.673 -2.384
2.617 -5.140 -2.315
-3.680 -4.877 6.668
Tl Se Zn
2 4 2
direct
0.701 0.371 0.464
0.203 0.871 0.752
0.201 0.142 0.019
0.702 0.558 0.762
0.700 0.642 0.197
0.200 0.058 0.454
0.700 0.362 0.001
0.200 0.862 0.215